The following is a DFT calculation (GGA-PBE) of an optimized crystal structure of PdWS2.

Energy relative to the lowest polymorph listed for this composition   574 meV/atom
Raw total energy   -25.622 eV for the cell shown
Symmetry   Fm-3m, No. 225
D(E_F)   1.36 states/eV/atom

Geometry as POSCAR:
```
PdWS2
1.0
4.240 -0.849 0.386
1.785 -0.399 3.937
1.316 -3.892 1.403
S Pd W
2 1 1
Cartesian
1.835 -1.285 1.431
5.505 -3.855 4.294
0.000 0.000 0.000
3.670 -2.570 2.863
```


The following is a DFT calculation (GGA-PBE) of an optimized crystal structure of Ta2PtCl.

Energy relative to the lowest polymorph listed for this composition   292 meV/atom
Raw total energy   -31.569 eV for the cell shown
Symmetry   Imm2, No. 44
D(E_F)   0.77 states/eV/atom

Geometry as POSCAR:
```
Ta2PtCl
1.0
5.640 0.001 -0.003
2.930 4.819 0.003
-3.686 -3.476 2.479
Cl Pt Ta
1 1 2
Cartesian
4.107 2.310 0.000
3.083 -0.553 1.238
0.003 0.002 0.000
1.978 1.996 1.241
```


Results for formation energy without anion corrections: 0.195 0.006 (in eV per atom, following the order of the records).